<i>
Ni3SnH | GGA-PBE | relaxed

crystal system	orthorhombic
space group	Amm2 (38)

Cell lengths 2.717, 6.448, 6.448 Å; angles 136.02, 90.00, 90.00 degrees
Atoms (fractional coordinates):
Ni1 0.500 0.158 0.331
Ni2 0.500 0.669 0.842
Ni3 0.000 0.277 0.723
Sn1 0.500 0.100 0.900
H1 0.000 0.425 0.575

<ii>
Ni3SnH | GGA-PBE | relaxed

crystal system	monoclinic
space group	P2/m (10)

Cell lengths 5.280, 3.760, 6.081 Å; angles 90.00, 115.80, 90.00 degrees
Atoms (fractional coordinates):
H1 0.716 0.296 0.290
H2 0.467 0.296 0.794
Sn1 0.958 0.796 0.774
Sn2 0.225 0.796 0.310
Ni1 0.091 0.296 0.542
Ni2 0.349 0.296 0.042
Ni3 0.834 0.296 0.042
Ni4 0.591 0.296 0.542
Ni5 0.469 0.796 0.796
Ni6 0.714 0.796 0.288

<iii>
Ni3SnH | GGA-PBE | relaxed

crystal system	orthorhombic
space group	Cmcm (63)

Cell lengths 5.242, 5.242, 5.091 Å; angles 90.00, 90.00, 121.45 degrees
Atoms (fractional coordinates):
Ni1 0.473 0.075 0.250
Ni2 0.925 0.527 0.250
Ni3 0.075 0.473 0.750
Ni4 0.527 0.925 0.750
Ni5 0.000 0.000 0.000
Ni6 0.000 0.000 0.500
Sn1 0.423 0.577 0.250
Sn2 0.577 0.423 0.750
H1 0.111 0.889 0.250
H2 0.889 0.111 0.750

Stability summary: most stable <ii>, least stable <i>.

<i>
Ni3SnH | GGA-PBE | relaxed

crystal system	orthorhombic
space group	Cmcm (63)

Cell lengths 6.826, 6.826, 4.604 Å; angles 90.00, 90.00, 137.37 degrees
Last column: magnetic moment on the atom in μB.
Atoms (fractional coordinates):
Ni1 0.105 0.387 0.250  0.08
Ni2 0.613 0.895 0.250  0.06
Ni3 0.387 0.105 0.750  0.06
Ni4 0.895 0.613 0.750  0.08
Ni5 0.000 0.000 0.000  0.37
Ni6 0.000 0.000 0.500  0.36
Sn1 0.184 0.816 0.250  -0.01
Sn2 0.816 0.184 0.750  -0.01
H1 0.435 0.565 0.250  0.00
H2 0.565 0.435 0.750  0.00

<ii>
Ni3SnH | GGA-PBE | relaxed

crystal system	hexagonal
space group	P6_3/mmc (194)

Cell lengths 5.316, 5.316, 4.400 Å; angles 90.00, 90.00, 60.01 degrees
Atoms (fractional coordinates):
H1 0.541 0.654 0.092
H2 0.541 0.654 0.592
Sn1 0.875 0.988 0.842
Sn2 0.208 0.321 0.342
Ni1 0.377 0.984 0.842
Ni2 0.212 0.819 0.342
Ni3 0.871 0.490 0.842
Ni4 0.706 0.819 0.342
Ni5 0.377 0.490 0.842
Ni6 0.706 0.325 0.342

Stability summary: most stable <ii>, least stable <i>.